# Co2AgClO | the Alexandria database | PBE+U | optimized geometry
# Total magnetization, μB/atom: 0.655
# Fermi-level density of states, states/eV/cell: 1.111
# Energy above the lowest structure with this stoichiometry, eV per atom: 0.921
data_Co2AgClO
_symmetry_space_group_name_H-M 'P 4/m m m'
_symmetry_Int_Tables_number 123
_symmetry_space_group_name_Hall '-P 4 2'
_cell_length_a 4.1676
_cell_length_b 4.1676
_cell_length_c 4.4169
_cell_angle_alpha 90.00
_cell_angle_beta 90.00
_cell_angle_gamma 90.00
loop_
_atom_site_label
_atom_site_fract_x
_atom_site_fract_y
_atom_site_fract_z
Co1 0.0000 0.5000 0.0000
Ag1 0.0000 0.0000 0.5000
Cl1 0.5000 0.5000 0.0000
O1 0.5000 0.5000 0.5000